(1)
# Bi2P2W

An optimized crystal structure of Bi2P2W (PBE-GGA, Alexandria via LeMat-Bulk).

Results
- crystal system = tetragonal
- formation enthalpy at 0 K (eV/f.u.) = 4.2
- space group = I4/mmm, No. 139

abc: 5.851 5.851 5.358
angles: 56.90 56.90 90.00
Sites, in units of the cell vectors:
P 0.343 0.343 0.313
P 0.657 0.657 0.687
Bi 0.750 0.250 0.500
Bi 0.250 0.750 0.500
W 0.000 0.000 0.000

---

(2)
# Bi2PW

An optimized crystal structure of Bi2PW (PBE-GGA, Alexandria via LeMat-Bulk).

Results
- crystal system = tetragonal
- formation enthalpy at 0 K (eV/f.u.) = 5.0
- space group = I-42d, No. 122

abc: 6.444 6.444 7.684
angles: 65.21 65.21 90.00
Sites, in units of the cell vectors:
P 0.500 0.500 0.000
P 0.250 0.750 0.500
Bi 0.630 0.125 0.250
Bi 0.120 0.625 0.250
Bi 0.375 0.370 0.750
Bi 0.875 0.880 0.750
W 0.000 0.000 0.000
W 0.750 0.250 0.500

---

(3)
# Bi2P2W

An optimized crystal structure of Bi2P2W (PBE-GGA, Alexandria via LeMat-Bulk).

Results
- crystal system = tetragonal
- formation enthalpy at 0 K (eV/f.u.) = 1.5
- space group = P4/mbm, No. 127

abc: 6.349 6.349 5.183
angles: 90.00 90.00 90.00
Sites, in units of the cell vectors:
P 0.366 0.866 0.000
P 0.866 0.634 0.000
P 0.634 0.134 0.000
P 0.134 0.366 0.000
Bi 0.182 0.682 0.500
Bi 0.682 0.818 0.500
Bi 0.818 0.318 0.500
Bi 0.318 0.182 0.500
W 0.000 0.000 0.000
W 0.500 0.500 0.000

---

(4)
# BiP3W

An optimized crystal structure of BiP3W (PBE-GGA, Alexandria via LeMat-Bulk).

Results
- crystal system = cubic
- formation enthalpy at 0 K (eV/f.u.) = 12.0
- space group = Pm-3m, No. 221

abc: 5.008 5.008 5.008
angles: 90.00 90.00 90.00
Sites, in units of the cell vectors:
P 0.000 0.500 0.000
P 0.000 0.000 0.500
P 0.500 0.000 0.000
Bi 0.000 0.000 0.000
W 0.500 0.500 0.500

---

(5)
# Y5Bi4P

An optimized crystal structure of Y5Bi4P (PBE-GGA, Alexandria via LeMat-Bulk).

Results
- crystal system = tetragonal
- formation enthalpy at 0 K (eV/f.u.) = -10.0
- space group = I4/m, No. 87

abc: 6.236 7.602 7.602
angles: 80.32 65.79 65.79
Sites, in units of the cell vectors:
Y 0.904 0.374 0.820
Y 0.278 0.820 0.626
Y 0.724 0.180 0.374
Y 0.098 0.626 0.180
Y 0.501 0.000 0.000
Bi 0.409 0.396 0.787
Bi 0.806 0.787 0.604
Bi 0.197 0.213 0.396
Bi 0.593 0.604 0.213
P 0.001 0.000 0.000

---

(6)
# YBiP

An optimized crystal structure of YBiP (PBE-GGA, Alexandria via LeMat-Bulk).

Results
- crystal system = tetragonal
- formation enthalpy at 0 K (eV/f.u.) = -2.4
- space group = I4/mmm, No. 139

abc: 3.897 3.897 11.824
angles: 99.49 99.49 90.00
Sites, in units of the cell vectors:
Bi 0.079 0.079 0.157
Bi 0.921 0.921 0.843
Y 0.681 0.681 0.361
Y 0.319 0.319 0.639
P 0.805 0.805 0.610
P 0.195 0.195 0.390

---

(7)
# Y6BiP4

An optimized crystal structure of Y6BiP4 (PBE-GGA, Alexandria via LeMat-Bulk).

Results
- crystal system = orthorhombic
- formation enthalpy at 0 K (eV/f.u.) = -15.4
- space group = Cmcm, No. 63

abc: 4.086 6.934 20.501
angles: 90.00 90.00 107.14
Sites, in units of the cell vectors:
Y 0.500 0.000 0.000
Y 0.500 0.000 0.500
Y 0.037 0.073 0.343
Y 0.963 0.927 0.657
Y 0.963 0.927 0.843
Y 0.037 0.073 0.157
Y 0.772 0.544 0.419
Y 0.228 0.456 0.581
Y 0.228 0.456 0.919
Y 0.772 0.544 0.081
Y 0.340 0.681 0.250
Y 0.660 0.319 0.750
Bi 0.662 0.323 0.250
Bi 0.338 0.677 0.750
P 0.863 0.726 0.542
P 0.405 0.811 0.124
P 0.137 0.274 0.458
P 0.595 0.189 0.876
P 0.863 0.726 0.958
P 0.137 0.274 0.042
P 0.595 0.189 0.624
P 0.405 0.811 0.376

---

(8)
# Y4Bi3P

An optimized crystal structure of Y4Bi3P (PBE-GGA, Alexandria via LeMat-Bulk).

Results
- crystal system = orthorhombic
- formation enthalpy at 0 K (eV/f.u.) = -8.2
- space group = Cmmm, No. 65

abc: 4.330 7.588 7.588
angles: 109.03 90.00 90.00
Sites, in units of the cell vectors:
Y 0.000 0.228 0.228
Y 0.500 0.762 0.238
Y 0.000 0.772 0.772
Y 0.500 0.238 0.762
P 0.500 0.000 0.000
Bi 0.000 0.000 0.500
Bi 0.500 0.500 0.500
Bi 0.000 0.500 0.000

---

(9)
# Y2Bi2P

An optimized crystal structure of Y2Bi2P (PBE-GGA, Alexandria via LeMat-Bulk).

Results
- crystal system = tetragonal
- formation enthalpy at 0 K (eV/f.u.) = -3.3
- space group = P4/mbm, No. 127

abc: 7.564 7.564 4.904
angles: 90.00 90.00 90.00
Sites, in units of the cell vectors:
Y 0.326 0.826 0.000
Y 0.826 0.674 0.000
Y 0.674 0.174 0.000
Y 0.174 0.326 0.000
P 0.000 0.000 0.000
P 0.500 0.500 0.000
Bi 0.144 0.644 0.500
Bi 0.644 0.856 0.500
Bi 0.856 0.356 0.500
Bi 0.356 0.144 0.500

---

(10)
# Y2Bi4P

An optimized crystal structure of Y2Bi4P (PBE-GGA, Alexandria via LeMat-Bulk).

Results
- crystal system = tetragonal
- formation enthalpy at 0 K (eV/f.u.) = 0.1
- space group = I4/mmm, No. 139

abc: 5.429 5.429 8.725
angles: 71.87 71.87 90.00
Sites, in units of the cell vectors:
Y 0.623 0.623 0.754
Y 0.377 0.377 0.246
P 0.000 0.000 0.000
Bi 0.819 0.819 0.362
Bi 0.181 0.181 0.638
Bi 0.000 0.500 0.000
Bi 0.500 0.000 0.000

---

(11)
# ZnBiP2

An optimized crystal structure of ZnBiP2 (PBE-GGA, Alexandria via LeMat-Bulk).

Results
- crystal system = tetragonal
- formation enthalpy at 0 K (eV/f.u.) = 0.5
- space group = I-42d, No. 122

abc: 5.872 5.872 7.274
angles: 66.19 66.19 90.00
Sites, in units of the cell vectors:
P 0.573 0.125 0.250
P 0.177 0.625 0.250
P 0.375 0.427 0.750
P 0.875 0.823 0.750
Zn 0.500 0.500 0.000
Zn 0.250 0.750 0.500
Bi 0.000 0.000 0.000
Bi 0.750 0.250 0.500

---

(12)
# ZnBi2P

An optimized crystal structure of ZnBi2P (PBE-GGA, Alexandria via LeMat-Bulk).

Results
- crystal system = tetragonal
- formation enthalpy at 0 K (eV/f.u.) = 1.1
- space group = I-42d, No. 122

abc: 6.295 6.295 7.945
angles: 66.66 66.66 90.00
Sites, in units of the cell vectors:
P 0.500 0.500 0.000
P 0.250 0.750 0.500
Zn 0.000 0.000 0.000
Zn 0.750 0.250 0.500
Bi 0.624 0.125 0.250
Bi 0.126 0.625 0.250
Bi 0.375 0.376 0.750
Bi 0.875 0.874 0.750

---

What is the formation enthalpy at 0 K in the fourth record?
12.0 eV/f.u.

---

Which of these has the lowest formation enthalpy at 0 K?
Y6BiP4

---

Which value of formation enthalpy at 0 K does entry 4 give?
12.0 eV/f.u.